DFT (PBE with a Hubbard U) results for a relaxed structure of CrIClF2.

Results
- electronic total energy (eV for the cell shown) = -16.6

Unit cell a=4.319 b=4.319 c=5.147 alpha=90.00 beta=90.00 gamma=90.00
Sites, in units of the cell vectors:
Cr1 0.000 0.000 0.000
I1 0.500 0.500 0.000
Cl1 0.000 0.000 0.500
F1 0.000 0.500 0.500
F2 0.500 0.000 0.500